1.
! CaFeIr2 PBE relaxed; values from VASP
! E_tot (eV/atom): -7.052
! Energy relative to the elements (eV/atom): -0.01
&SYSTEM
  ibrav = 0, nat = 4, ntyp = 3
/
ATOMIC_SPECIES
Ca 40.08 Ca.upf
Ir 192.22 Ir.upf
Fe 55.84 Fe.upf
ATOMIC_POSITIONS crystal
Ca 0.500 0.500 0.250
Ir 0.000 0.000 0.548
Ir 0.000 0.000 0.952
Fe 0.500 0.500 0.750
CELL_PARAMETERS angstrom
-2.299 1.360 1.251
-1.821 -2.006 -1.166
0.802 -4.302 6.152

2.
! ZrVRu2 PBE relaxed; values from VASP
! E_tot (eV/atom): -9.385
! Energy relative to the elements (eV/atom): -0.33
&SYSTEM
  ibrav = 0, nat = 4, ntyp = 3
/
ATOMIC_SPECIES
Ru 101.07 Ru.upf
V 50.94 V.upf
Zr 91.22 Zr.upf
ATOMIC_POSITIONS crystal
Ru 0.000 0.000 0.500
Ru 0.000 0.500 0.000
V 0.500 0.500 0.500
Zr 0.500 0.000 0.000
CELL_PARAMETERS angstrom
-2.858 -0.670 1.140
-0.365 -3.375 -2.899
1.839 -2.763 2.985